Entry 1:
{
  "formula": "CaMn2Be",
  "functional": "PBE-GGA",
  "state": "optimized geometry",
  "m_tot_mub_per_fu": 6.31,
  "vol_a3_per_atom": 16.15,
  "formation_enthalpy_0k_ev_per_atom": 0.661,
  "crystal_system": "tetragonal",
  "total_energy_ev_per_atom": -5.36,
  "lattice": [[-2.486, 2.217, -3.399], [1.337, -2.203, -4.001], [-1.610, -1.942, 4.036]],
  "species": ["Ca", "Mn", "Mn", "Be"],
  "fractional_positions": [[0.750, 0.250, 0.500], [0.000, 0.000, 0.000], [0.500, 0.500, 0.000], [0.250, 0.750, 0.500]]
}

=====

Entry 2:
{
  "formula": "Ag4H3I4",
  "functional": "PBE-GGA",
  "state": "optimized geometry",
  "m_tot_mub_per_fu": 0.00,
  "vol_a3_per_atom": 26.50,
  "crystal_system": "orthorhombic",
  "total_energy_ev_per_atom": -2.33,
  "lattice": [[5.467, 0.000, 0.000], [-2.733, 3.710, 0.000], [0.000, 0.000, 14.373]],
  "species": ["I", "H", "Ag", "H", "H", "Ag", "I", "Ag", "I", "Ag", "I"],
  "fractional_positions": [[0.670, 0.339, 0.000], [0.418, 0.836, 0.743], [0.641, 0.281, 0.263], [0.268, 0.536, 0.000], [0.418, 0.836, 0.257], [0.021, 0.043, 0.500], [0.641, 0.281, 0.500], [0.046, 0.091, 0.000], [0.018, 0.036, 0.259], [0.641, 0.281, 0.737], [0.018, 0.036, 0.741]]
}

=====

Entry 3:
{
  "formula": "Dy2ErZnC",
  "functional": "PBE-GGA",
  "state": "optimized geometry",
  "m_tot_mub_per_fu": 0.33,
  "vol_a3_per_atom": 22.98,
  "formation_enthalpy_0k_ev_per_atom": -0.238,
  "crystal_system": "tetragonal",
  "total_energy_ev_per_atom": -5.09,
  "lattice": [[4.896, 0.000, 0.000], [0.000, 4.896, 0.000], [0.000, 0.000, 4.795]],
  "species": ["Dy", "Dy", "C", "Er", "Zn"],
  "fractional_positions": [[0.000, 0.500, 0.000], [0.500, 0.000, 0.000], [0.000, 0.000, 0.000], [0.000, 0.000, 0.500], [0.500, 0.500, 0.500]]
}

=====

Entry 4:
{
  "formula": "Ba12H3N5",
  "functional": "PBE-GGA",
  "state": "optimized geometry",
  "m_tot_mub_per_fu": 2.62,
  "vol_a3_per_atom": 33.00,
  "crystal_system": "cubic",
  "total_energy_ev_per_atom": -3.90,
  "lattice": [[-13.167, 6.873, 2.605], [-0.940, -7.995, -12.751], [3.217, -9.222, 11.489]],
  "species": ["Ba", "Ba", "Ba", "H", "Ba", "Ba", "Ba", "Ba", "Ba", "Ba", "H", "Ba", "Ba", "Ba", "N", "N", "Ba", "Ba", "H", "N", "N", "N", "N", "Ba", "Ba", "H", "Ba", "Ba", "N", "Ba", "Ba", "N", "N", "Ba", "H", "H", "Ba", "N", "H", "Ba", "Ba", "Ba", "Ba", "Ba", "Ba", "Ba", "H", "N", "Ba", "Ba", "Ba", "Ba", "N", "N", "N", "Ba", "H", "Ba", "N", "Ba", "Ba", "Ba", "Ba", "Ba", "Ba", "Ba", "Ba", "Ba", "N", "H", "N", "Ba", "N", "H", "Ba", "N", "Ba", "N", "H", "Ba"],
  "fractional_positions": [[0.573, 0.700, 0.678], [0.105, 0.178, 0.478], [0.373, 0.395, 0.073], [0.875, 0.750, 0.125], [0.022, 0.627, 0.700], [0.127, 0.700, 0.522], [0.800, 0.478, 0.373], [0.522, 0.322, 0.895], [0.200, 0.678, 0.073], [0.895, 0.073, 0.873], [0.250, 0.625, 0.875], [0.395, 0.022, 0.322], [0.322, 0.522, 0.395], [0.800, 0.322, 0.927], [0.000, 0.000, 0.000], [0.625, 0.750, 0.875], [0.395, 0.373, 0.573], [0.978, 0.605, 0.178], [0.750, 0.375, 0.125], [0.375, 0.125, 0.750], [0.625, 0.875, 0.250], [0.125, 0.375, 0.250], [0.000, 0.500, 0.000], [0.605, 0.627, 0.427], [0.178, 0.073, 0.700], [0.375, 0.625, 0.250], [0.427, 0.127, 0.605], [0.895, 0.822, 0.522], [0.125, 0.750, 0.375], [0.700, 0.573, 0.178], [0.373, 0.978, 0.800], [0.750, 0.625, 0.375], [0.750, 0.125, 0.875], [0.200, 0.522, 0.627], [0.250, 0.125, 0.375], [0.125, 0.250, 0.875], [0.873, 0.300, 0.478], [0.875, 0.250, 0.625], [0.125, 0.875, 0.750], [0.478, 0.800, 0.873], [0.073, 0.178, 0.200], [0.300, 0.873, 0.978], [0.678, 0.478, 0.605], [0.022, 0.395, 0.822], [0.873, 0.573, 0.895], [0.573, 0.873, 0.395], [0.875, 0.125, 0.250], [0.250, 0.375, 0.625], [0.822, 0.927, 0.300], [0.522, 0.200, 0.127], [0.700, 0.127, 0.022], [0.073, 0.895, 0.373], [0.250, 0.875, 0.125], [0.500, 0.000, 0.000], [0.000, 0.000, 0.500], [0.927, 0.822, 0.800], [0.750, 0.875, 0.625], [0.478, 0.678, 0.105], [0.500, 0.500, 0.000], [0.322, 0.800, 0.427], [0.300, 0.427, 0.822], [0.978, 0.373, 0.300], [0.678, 0.200, 0.573], [0.178, 0.105, 0.978], [0.822, 0.895, 0.022], [0.127, 0.427, 0.105], [0.427, 0.300, 0.322], [0.605, 0.978, 0.678], [0.875, 0.625, 0.750], [0.625, 0.250, 0.375], [0.500, 0.500, 0.500], [0.927, 0.105, 0.627], [0.000, 0.500, 0.500], [0.375, 0.750, 0.625], [0.627, 0.605, 0.927], [0.500, 0.000, 0.500], [0.627, 0.022, 0.200], [0.375, 0.250, 0.125], [0.625, 0.375, 0.750], [0.105, 0.927, 0.127]]
}

=====

Entry 5:
{
  "formula": "KMg2Rh",
  "functional": "PBE-GGA",
  "state": "optimized geometry",
  "m_tot_mub_per_fu": 0.00,
  "vol_a3_per_atom": 25.97,
  "formation_enthalpy_0k_ev_per_atom": 0.027,
  "crystal_system": "orthorhombic",
  "total_energy_ev_per_atom": -2.88,
  "lattice": [[3.261, 0.000, 0.000], [0.000, 3.860, 0.000], [0.000, 0.000, 8.252]],
  "species": ["Mg", "Mg", "K", "Rh"],
  "fractional_positions": [[0.500, 0.500, 0.311], [0.000, 0.000, 0.083], [0.500, 0.500, 0.709], [0.000, 0.000, 0.397]]
}

=====

Entry 6:
{
  "formula": "Pu2UCu",
  "functional": "PBE-GGA",
  "state": "optimized geometry",
  "m_tot_mub_per_fu": 11.26,
  "vol_a3_per_atom": 20.70,
  "formation_enthalpy_0k_ev_per_atom": 0.203,
  "crystal_system": "tetragonal",
  "total_energy_ev_per_atom": -10.81,
  "lattice": [[-2.456, -2.290, 0.545], [-0.237, -0.543, -3.350], [4.927, -5.167, 0.489]],
  "species": ["Pu", "U", "Pu", "Cu"],
  "fractional_positions": [[0.000, 0.000, 0.759], [0.500, 0.500, 0.500], [0.000, 0.000, 0.241], [0.500, 0.500, 0.000]]
}

=====

Entry 7:
{
  "formula": "CsRb2U3S8",
  "functional": "PBE-GGA",
  "state": "optimized geometry",
  "m_tot_mub_per_fu": 5.00,
  "formation_energy_uncorrected_ev_per_atom": -1.3603,
  "vol_a3_per_atom": 33.93,
  "crystal_system": "trigonal",
  "total_energy_ev_per_atom": -6.34,
  "lattice": [[-3.514, 7.267, 1.729], [-3.976, 4.172, -5.910], [-9.338, 0.044, 0.548]],
  "species": ["U", "S", "S", "S", "U", "S", "S", "S", "Rb", "U", "S", "S", "Rb", "Cs"],
  "fractional_positions": [[0.000, 0.500, 0.001], [0.687, 0.243, 0.826], [0.243, 0.243, 0.826], [0.724, 0.724, 0.829], [0.500, 0.500, 0.001], [0.243, 0.687, 0.826], [0.274, 0.274, 0.178], [0.756, 0.756, 0.173], [0.500, 0.500, 0.500], [0.500, 0.000, 0.001], [0.316, 0.756, 0.173], [0.756, 0.315, 0.173], [0.132, 0.131, 0.605], [0.863, 0.864, 0.409]]
}

=====

Entry 8:
{
  "formula": "Li3CaIn2",
  "functional": "PBE-GGA",
  "state": "optimized geometry",
  "m_tot_mub_per_fu": 0.00,
  "vol_a3_per_atom": 22.67,
  "formation_enthalpy_0k_ev_per_atom": -0.295,
  "crystal_system": "monoclinic",
  "total_energy_ev_per_atom": -2.50,
  "lattice": [[-1.690, -0.860, -4.298], [-5.031, -5.563, 0.523], [-7.959, 3.507, -0.140]],
  "species": ["In", "Li", "Li", "Li", "In", "Li", "Ca", "Li", "Ca", "In", "In", "Li"],
  "fractional_positions": [[0.573, 0.060, 0.795], [0.578, 0.523, 0.321], [0.422, 0.477, 0.679], [0.738, 0.094, 0.429], [0.427, 0.940, 0.205], [0.043, 0.293, 0.621], [0.861, 0.266, 0.011], [0.262, 0.906, 0.571], [0.139, 0.734, 0.989], [0.802, 0.678, 0.718], [0.198, 0.322, 0.282], [0.957, 0.707, 0.379]]
}

=====

Entry 9:
{
  "formula": "PaNiMo",
  "functional": "PBE-GGA",
  "state": "optimized geometry",
  "m_tot_mub_per_fu": 0.00,
  "vol_a3_per_atom": 18.89,
  "formation_enthalpy_0k_ev_per_atom": 0.162,
  "crystal_system": "hexagonal",
  "total_energy_ev_per_atom": -8.54,
  "lattice": [[3.668, 0.000, 0.000], [0.000, 4.224, 0.000], [0.000, -2.112, 3.658]],
  "species": ["Pa", "Mo", "Ni"],
  "fractional_positions": [[0.667, 0.667, 0.333], [0.167, 0.000, 0.000], [0.166, 0.333, 0.667]]
}

=====

Entry 10:
{
  "formula": "LiSb2As",
  "functional": "PBE-GGA",
  "state": "optimized geometry",
  "m_tot_mub_per_fu": 0.00,
  "formation_energy_uncorrected_ev_per_atom": -0.1449,
  "vol_a3_per_atom": 23.44,
  "crystal_system": "orthorhombic",
  "total_energy_ev_per_atom": -3.85,
  "lattice": [[4.031, 0.000, 0.000], [0.000, 3.074, -0.011], [0.000, 0.030, 7.569]],
  "species": ["As", "Sb", "Li", "Sb"],
  "fractional_positions": [[0.000, 0.250, 0.552], [0.000, 0.250, 0.955], [0.500, 0.749, 0.715], [0.500, 0.251, 0.278]]
}

=====

Entry 11:
{
  "formula": "La4P3F",
  "functional": "PBE-GGA",
  "state": "optimized geometry",
  "m_tot_mub_per_fu": 0.00,
  "formation_energy_uncorrected_ev_per_atom": -1.8649,
  "vol_a3_per_atom": 25.73,
  "crystal_system": "orthorhombic",
  "total_energy_ev_per_atom": -6.59,
  "lattice": [[4.198, -0.053, 0.071], [0.054, 6.920, 2.000], [-0.116, 0.381, 7.193]],
  "species": ["P", "P", "La", "La", "La", "F", "P", "La"],
  "fractional_positions": [[0.500, 0.000, 0.500], [0.000, 0.000, 0.000], [0.000, 0.243, 0.258], [0.500, 0.252, 0.751], [0.500, 0.749, 0.249], [0.500, 0.501, 0.999], [0.000, 0.500, 0.500], [0.000, 0.757, 0.743]]
}

=====

Entry 12:
{
  "formula": "Dy8Sc2Tl",
  "functional": "PBE-GGA",
  "state": "optimized geometry",
  "m_tot_mub_per_fu": 0.00,
  "vol_a3_per_atom": 29.19,
  "formation_enthalpy_0k_ev_per_atom": -0.029,
  "crystal_system": "monoclinic",
  "total_energy_ev_per_atom": -4.74,
  "lattice": [[-3.358, -3.214, -1.506], [4.030, -1.135, -6.565], [4.724, -4.277, 6.519]],
  "species": ["Dy", "Tl", "Dy", "Dy", "Dy", "Dy", "Sc", "Dy", "Sc", "Dy", "Dy"],
  "fractional_positions": [[0.138, 0.186, 0.276], [0.500, 0.000, 0.000], [0.047, 0.723, 0.093], [0.406, 0.552, 0.812], [0.862, 0.814, 0.724], [0.953, 0.277, 0.907], [0.224, 0.634, 0.449], [0.318, 0.088, 0.636], [0.776, 0.366, 0.551], [0.682, 0.912, 0.364], [0.594, 0.448, 0.188]]
}

=====

Q: Which formula does entry 10 have?
A: LiSb2As